Version P
# PBE Mg2ScTlNi, relaxed
data_Mg2ScTlNi
_chemical_formula_sum 'Mg2 Sc1 Tl1 Ni1'
_cell_length_a 5.761
_cell_length_b 4.412
_cell_length_c 5.761
_cell_angle_alpha 90.00
_cell_angle_beta 90.00
_cell_angle_gamma 90.00
_space_group_name_H-M_alt 'P 1'
_space_group_IT_number 1
_space_group_name_Hall 'P 1'
loop_
_atom_site_label
_atom_site_type_symbol
_atom_site_fract_x
_atom_site_fract_y
_atom_site_fract_z
_atom_site_occupancy
Sc1 Sc 0.000 0.000 0.000 1
Ni1 Ni 0.000 0.500 0.000 1
Tl1 Tl 0.500 0.500 0.500 1
Mg1 Mg 0.000 0.000 0.500 1
Mg2 Mg 0.500 0.000 0.000 1
# Space group   P4/mmm (123)

=====

Version Q
# PBE Mg2ScTlNi, relaxed
data_Mg2ScTlNi
_chemical_formula_sum 'Mg2 Sc1 Tl1 Ni1'
_cell_length_a 4.902
_cell_length_b 4.902
_cell_length_c 4.734
_cell_angle_alpha 90.00
_cell_angle_beta 90.00
_cell_angle_gamma 90.00
_space_group_name_H-M_alt 'P 1'
_space_group_IT_number 1
_space_group_name_Hall 'P 1'
loop_
_atom_site_label
_atom_site_type_symbol
_atom_site_fract_x
_atom_site_fract_y
_atom_site_fract_z
_atom_site_occupancy
Sc1 Sc 0.000 0.000 0.500 1
Ni1 Ni 0.000 0.000 0.000 1
Tl1 Tl 0.500 0.500 0.500 1
Mg1 Mg 0.000 0.500 0.000 1
Mg2 Mg 0.500 0.000 0.000 1
# Space group   P4/mmm (123)

=====

How do the energies compare? Relative to the most stable structure, in kJ/mol of atoms: version P 76.4; version Q 0.0.

=====

Version P
# PBE MgNiSe3, relaxed
data_MgNiSe3
_chemical_formula_sum 'Mg1 Ni1 Se3'
_cell_length_a 4.932
_cell_length_b 4.932
_cell_length_c 4.932
_cell_angle_alpha 90.00
_cell_angle_beta 90.00
_cell_angle_gamma 90.00
_space_group_name_H-M_alt 'P 1'
_space_group_IT_number 1
_space_group_name_Hall 'P 1'
loop_
_atom_site_label
_atom_site_type_symbol
_atom_site_fract_x
_atom_site_fract_y
_atom_site_fract_z
_atom_site_occupancy
Ni1 Ni 0.500 0.500 0.500 1
Mg1 Mg 0.000 0.000 0.000 1
Se1 Se 0.000 0.500 0.000 1
Se2 Se 0.000 0.000 0.500 1
Se3 Se 0.500 0.000 0.000 1
# Space group   Pm-3m (221)

=====

Version Q
# PBE MgNiSe3, relaxed
data_MgNiSe3
_chemical_formula_sum 'Mg1 Ni1 Se3'
_cell_length_a 4.750
_cell_length_b 4.750
_cell_length_c 4.750
_cell_angle_alpha 90.00
_cell_angle_beta 90.00
_cell_angle_gamma 90.00
_space_group_name_H-M_alt 'P 1'
_space_group_IT_number 1
_space_group_name_Hall 'P 1'
loop_
_atom_site_label
_atom_site_type_symbol
_atom_site_fract_x
_atom_site_fract_y
_atom_site_fract_z
_atom_site_occupancy
Ni1 Ni 0.000 0.000 0.000 1
Mg1 Mg 0.500 0.500 0.500 1
Se1 Se 0.000 0.500 0.000 1
Se2 Se 0.000 0.000 0.500 1
Se3 Se 0.500 0.000 0.000 1
# Space group   Pm-3m (221)

=====

How do the energies compare? Relative to the most stable structure, in kJ/mol of atoms: version P 59.0; version Q 0.0.

=====

Version P
# PBE MgNi2Se, relaxed
data_MgNi2Se
_chemical_formula_sum 'Mg1 Ni2 Se1'
_cell_length_a 4.983
_cell_length_b 4.983
_cell_length_c 4.983
_cell_angle_alpha 141.07
_cell_angle_beta 132.27
_cell_angle_gamma 63.22
_space_group_name_H-M_alt 'P 1'
_space_group_IT_number 1
_space_group_name_Hall 'P 1'
loop_
_atom_site_label
_atom_site_type_symbol
_atom_site_fract_x
_atom_site_fract_y
_atom_site_fract_z
_atom_site_occupancy
Mg1 Mg 0.740 0.240 0.500 1
Ni1 Ni 0.018 0.018 0.000 1
Ni2 Ni 0.269 0.769 0.500 1
Se1 Se 0.472 0.472 0.000 1
# Space group   Imm2 (44)

=====

Version Q
# PBE MgNi2Se, relaxed
data_MgNi2Se
_chemical_formula_sum 'Mg1 Ni2 Se1'
_cell_length_a 4.331
_cell_length_b 4.331
_cell_length_c 4.331
_cell_angle_alpha 60.00
_cell_angle_beta 60.00
_cell_angle_gamma 60.00
_space_group_name_H-M_alt 'P 1'
_space_group_IT_number 1
_space_group_name_Hall 'P 1'
loop_
_atom_site_label
_atom_site_type_symbol
_atom_site_fract_x
_atom_site_fract_y
_atom_site_fract_z
_atom_site_occupancy
Mg1 Mg 0.500 0.500 0.500 1
Ni1 Ni 0.000 0.000 0.000 1
Ni2 Ni 0.250 0.250 0.250 1
Se1 Se 0.750 0.750 0.750 1
# Space group   F-43m (216)

=====

How do the energies compare? Relative to the most stable structure, in kJ/mol of atoms: version P 0.0; version Q 17.9.

=====

Version P
# PBE MgNi2Se, relaxed
data_MgNi2Se
_chemical_formula_sum 'Mg1 Ni2 Se1'
_cell_length_a 3.914
_cell_length_b 3.602
_cell_length_c 4.376
_cell_angle_alpha 77.16
_cell_angle_beta 90.00
_cell_angle_gamma 90.00
_space_group_name_H-M_alt 'P 1'
_space_group_IT_number 1
_space_group_name_Hall 'P 1'
loop_
_atom_site_label
_atom_site_type_symbol
_atom_site_fract_x
_atom_site_fract_y
_atom_site_fract_z
_atom_site_occupancy
Mg1 Mg 0.500 0.783 0.686 1
Ni1 Ni 0.000 0.999 0.070 1
Ni2 Ni 0.500 0.408 0.229 1
Se1 Se 0.000 0.309 0.515 1
# Space group   Pm (6)

=====

Version Q
# PBE MgNi2Se, relaxed
data_MgNi2Se
_chemical_formula_sum 'Mg1 Ni2 Se1'
_cell_length_a 3.918
_cell_length_b 3.914
_cell_length_c 3.588
_cell_angle_alpha 90.00
_cell_angle_beta 90.00
_cell_angle_gamma 90.00
_space_group_name_H-M_alt 'P 1'
_space_group_IT_number 1
_space_group_name_Hall 'P 1'
loop_
_atom_site_label
_atom_site_type_symbol
_atom_site_fract_x
_atom_site_fract_y
_atom_site_fract_z
_atom_site_occupancy
Mg1 Mg 0.000 0.500 0.500 1
Ni1 Ni 0.000 0.000 0.000 1
Ni2 Ni 0.500 0.500 0.000 1
Se1 Se 0.500 0.000 0.500 1
# Space group   P4/mmm (123)

=====

How do the energies compare? Relative to the most stable structure, in kJ/mol of atoms: version P 1.5; version Q 0.0.

=====

Version P
# PBE MgNi2Se, relaxed
data_MgNi2Se
_chemical_formula_sum 'Mg1 Ni2 Se1'
_cell_length_a 3.184
_cell_length_b 3.183
_cell_length_c 5.583
_cell_angle_alpha 90.00
_cell_angle_beta 90.00
_cell_angle_gamma 90.00
_space_group_name_H-M_alt 'P 1'
_space_group_IT_number 1
_space_group_name_Hall 'P 1'
loop_
_atom_site_label
_atom_site_type_symbol
_atom_site_fract_x
_atom_site_fract_y
_atom_site_fract_z
_atom_site_occupancy
Mg1 Mg 0.500 0.500 0.750 1
Ni1 Ni 0.000 0.000 0.016 1
Ni2 Ni 0.000 0.000 0.484 1
Se1 Se 0.500 0.500 0.250 1
# Space group   P4/mmm (123)

=====

Version Q
# PBE MgNi2Se, relaxed
data_MgNi2Se
_chemical_formula_sum 'Mg1 Ni2 Se1'
_cell_length_a 7.882
_cell_length_b 7.882
_cell_length_c 7.882
_cell_angle_alpha 21.99
_cell_angle_beta 21.99
_cell_angle_gamma 21.99
_space_group_name_H-M_alt 'P 1'
_space_group_IT_number 1
_space_group_name_Hall 'P 1'
loop_
_atom_site_label
_atom_site_type_symbol
_atom_site_fract_x
_atom_site_fract_y
_atom_site_fract_z
_atom_site_occupancy
Mg1 Mg 0.750 0.750 0.750 1
Ni1 Ni 0.992 0.992 0.992 1
Ni2 Ni 0.508 0.508 0.508 1
Se1 Se 0.250 0.250 0.250 1
# Space group   R-3m (166)

=====

Version R
# PBE MgNi2Se, relaxed
data_MgNi2Se
_chemical_formula_sum 'Mg2 Ni4 Se2'
_cell_length_a 3.986
_cell_length_b 3.986
_cell_length_c 8.492
_cell_angle_alpha 76.43
_cell_angle_beta 76.43
_cell_angle_gamma 90.00
_space_group_name_H-M_alt 'P 1'
_space_group_IT_number 1
_space_group_name_Hall 'P 1'
loop_
_atom_site_label
_atom_site_type_symbol
_atom_site_fract_x
_atom_site_fract_y
_atom_site_fract_z
_atom_site_occupancy
Ni1 Ni 0.691 0.125 0.250 1
Ni2 Ni 0.059 0.625 0.250 1
Ni3 Ni 0.375 0.309 0.750 1
Ni4 Ni 0.875 0.941 0.750 1
Mg1 Mg 0.500 0.500 0.000 1
Mg2 Mg 0.250 0.750 0.500 1
Se1 Se 0.000 0.000 0.000 1
Se2 Se 0.750 0.250 0.500 1
# Space group   I-42d (122)

=====

How do the energies compare? Relative to the most stable structure, in kJ/mol of atoms: version P 0.0; version Q 13.6; version R 2.9.

=====

Version P
# PBE MgNi2Se, relaxed
data_MgNi2Se
_chemical_formula_sum 'Mg1 Ni2 Se1'
_cell_length_a 3.243
_cell_length_b 3.274
_cell_length_c 5.543
_cell_angle_alpha 90.00
_cell_angle_beta 90.00
_cell_angle_gamma 90.00
_space_group_name_H-M_alt 'P 1'
_space_group_IT_number 1
_space_group_name_Hall 'P 1'
loop_
_atom_site_label
_atom_site_type_symbol
_atom_site_fract_x
_atom_site_fract_y
_atom_site_fract_z
_atom_site_occupancy
Mg1 Mg 0.500 0.500 0.780 1
Ni1 Ni 0.000 0.000 0.021 1
Ni2 Ni 0.500 0.500 0.262 1
Se1 Se 0.000 0.000 0.437 1
# Space group   Pmm2 (25)

=====

Version Q
# PBE MgNi2Se, relaxed
data_MgNi2Se
_chemical_formula_sum 'Mg1 Ni2 Se1'
_cell_length_a 4.762
_cell_length_b 4.762
_cell_length_c 4.762
_cell_angle_alpha 136.65
_cell_angle_beta 129.05
_cell_angle_gamma 69.07
_space_group_name_H-M_alt 'P 1'
_space_group_IT_number 1
_space_group_name_Hall 'P 1'
loop_
_atom_site_label
_atom_site_type_symbol
_atom_site_fract_x
_atom_site_fract_y
_atom_site_fract_z
_atom_site_occupancy
Mg1 Mg 0.750 0.250 0.500 1
Ni1 Ni 0.023 0.023 0.000 1
Ni2 Ni 0.477 0.477 0.000 1
Se1 Se 0.250 0.750 0.500 1
# Space group   Immm (71)

=====

Version R
# PBE MgNi2Se, relaxed
data_MgNi2Se
_chemical_formula_sum 'Mg1 Ni2 Se1'
_cell_length_a 4.495
_cell_length_b 4.495
_cell_length_c 4.392
_cell_angle_alpha 73.61
_cell_angle_beta 73.61
_cell_angle_gamma 46.60
_space_group_name_H-M_alt 'P 1'
_space_group_IT_number 1
_space_group_name_Hall 'P 1'
loop_
_atom_site_label
_atom_site_type_symbol
_atom_site_fract_x
_atom_site_fract_y
_atom_site_fract_z
_atom_site_occupancy
Mg1 Mg 0.249 0.249 0.239 1
Ni1 Ni 0.029 0.029 0.895 1
Ni2 Ni 0.751 0.751 0.759 1
Se1 Se 0.471 0.471 0.607 1
# Space group   Cm (8)

=====

How do the energies compare? Relative to the most stable structure, in kJ/mol of atoms: version P 0.7; version Q 5.6; version R 0.0.